# Cu2GeS

A PBEsol-optimized structure of Cu2GeS (meta-GGA SCAN, Alexandria via LeMat-Bulk).

Lattice parameters (Å, degrees): 4.3166 4.3166 4.3166 60.00 60.00 60.00
Positions (direct):
Ge 0.5000 0.5000 0.5000
S 0.0000 0.0000 0.0000
Cu 0.2500 0.2500 0.2500
Cu 0.7500 0.7500 0.7500

Formation energy (no corrections) = 1.6 eV per formula unit

---

# Tl2HgAs

A PBEsol-optimized structure of Tl2HgAs (meta-GGA SCAN, Alexandria via LeMat-Bulk).

Lattice parameters (Å, degrees): 3.1718 3.1718 10.1733 90.00 90.00 90.07
Positions (direct):
As 0.5000 0.5000 0.5000
Tl 0.0000 0.0000 0.2709
Tl 0.0000 0.0000 0.7291
Hg 0.5000 0.5000 0.0000

Formation energy from the elements = 0.090 eV/atom
Energy relative to the lowest polymorph listed for this composition = 0.053 eV per atom

---

The final energy results, record by record, are as follows: -14.3748, -58.1780 eV/atom.